# GGA+U ZrCrN2O, relaxed
# calculated total energy = -0.2826 Ha/atom
# density = 4.13 g/cm³
data_ZrCrN2O
_cell_length_a 4.296
_cell_length_b 4.296
_cell_length_c 4.083
_cell_angle_alpha 90.00
_cell_angle_beta 90.00
_cell_angle_gamma 90.00
_symmetry_space_group_name_H-M 'P 4/m m m'
_symmetry_Int_Tables_number 123
_symmetry_space_group_name_Hall '-P 4 2'
loop_
_atom_site_label
_atom_site_type_symbol
_atom_site_fract_x
_atom_site_fract_y
_atom_site_fract_z
Zr1 Zr 0.000 0.000 0.000
Cr1 Cr 0.500 0.500 0.500
N1 N 0.000 0.500 0.000
O1 O 0.000 0.000 0.500